First-principles (GGA-PBE) data for an optimized crystal structure of Sm2ThTe2S2, as listed in the Alexandria database.

abc: 5.2815 5.2815 15.8039
angles: 90.00 90.00 90.00
Last column: nearest neighbours and their distance in Å.
Space group I4/mmm (No. 139)
Inequivalent atoms, fractional coordinates:
Sm 0.0000 0.0000 0.1094 x4  1 Te 3.13, 4 S 3.16, 1 Sm 3.46
Th 0.0000 0.0000 0.5000 x2  4 S 2.64
Te 0.0000 0.0000 0.3075 x4  1 Th 3.04, 1 Sm 3.13
S 0.0000 0.5000 0.0000 x4  2 Th 2.64

Output
- energy relative to the elements, uncorrected (eV/atom) = -1.25